! CsMgPC PBE-GGA relaxed; values from VASP
! ΔE_f, meV/atom: 326
! Distance to the lowest polymorph of the same formula, meV/atom: 70
! Uncorrected energy, eV/f.u.: -15.78
! Total magnetic moment, μB per formula unit: 0.00
&SYSTEM
  ibrav = 0, nat = 8, ntyp = 4
/
ATOMIC_SPECIES
Cs 132.91 Cs.upf
Mg 24.30 Mg.upf
P 30.97 P.upf
C 12.01 C.upf
CELL_PARAMETERS angstrom
3.434 0.000 0.000
0.000 3.434 0.000
0.000 0.000 14.897
ATOMIC_POSITIONS angstrom
Cs 0.000 0.000 0.000
Cs 1.717 1.717 7.449
Mg 0.000 0.000 10.708
Mg 1.717 1.717 3.260
P 0.000 0.000 4.829
P 1.717 1.717 12.278
C 0.000 0.000 3.102
C 1.717 1.717 10.551